1.
Nb2TcSnN after structural relaxation, computed with PBE.

Unit cell a=4.275 b=4.275 c=4.227 alpha=90.00 beta=90.00 gamma=90.00
Space group P4/mmm (No. 123)
Inequivalent atoms, fractional coordinates:
Nb1 0.000 0.500 0.000 x2
Tc1 0.000 0.000 0.500 x1
Sn1 0.500 0.500 0.500 x1
N1 0.000 0.000 0.000 x1

Results
The calculation puts the calculated density at 8.95 g/cm³. The crystal system is tetragonal. The value obtained for the density of states at the Fermi level is 0.75 states/eV per atom. As for the uncorrected formation energy: -0.3444 eV/atom.


2.
BiCBr2 after structural relaxation, computed with PBE.

Unit cell a=6.830 b=6.830 c=9.704 alpha=90.00 beta=90.00 gamma=90.00
Space group I4_1/amd (No. 141, origin choice 2)
Inequivalent atoms, fractional coordinates:
Bi1 0.000 0.250 0.375 x4
C1 0.000 0.250 0.875 x4
Br1 0.000 0.000 0.000 x8

Results
The calculation puts the calculated density at 5.59 g/cm³. The energy above the most stable polymorph in this dataset is 73 meV per atom. The crystal system is tetragonal. The value obtained for the density of states at the Fermi level is 0.85 states/eV per atom. As for the uncorrected formation energy: 1.3274 eV/atom.


3.
BeIn2Br after structural relaxation, computed with PBE.

Unit cell a=4.300 b=4.300 c=11.352 alpha=90.00 beta=90.00 gamma=90.00
Space group I-4m2 (No. 119)
Inequivalent atoms, fractional coordinates:
Be1 0.000 0.000 0.000 x2
In1 0.000 0.000 0.500 x2
In2 0.000 0.500 0.250 x2
Br1 0.000 0.500 0.750 x2

Results
The calculation puts the calculated density at 5.04 g/cm³. The energy above the most stable polymorph in this dataset is 383 meV per atom. The crystal system is tetragonal. The value obtained for the density of states at the Fermi level is 0.38 states/eV per atom. As for the uncorrected formation energy: 0.3847 eV/atom.